# Mn2BeNiO6

Crystalline Mn2BeNiO6 at its relaxed geometry (PBE with a Hubbard U, Alexandria).

It has space group C2/c (No. 15), with a = 9.777 Å, b = 9.523 Å, c = 5.264 Å, α = 90.00°, β = 107.76° and γ = 90.00°. The asymmetric unit holds Mn at (0.194, 0.103, 0.208), Be at (0.000, 0.315, 0.750), Ni at (0.000, 0.403, 0.250), O at (0.092, 0.254, 0.041), O at (0.110, 0.421, 0.648) and O at (0.142, 0.049, 0.489).

The value obtained for the calculated volume is 466.8 Å³ per cell. For the total energy, the calculation gives -6.399 eV per atom. The calculation puts the density of states at the Fermi level at 0.076 states/eV per atom.